Entry 1:
# RbHg2Se, optimized geometry, DFT PBE
data_RbHg2Se
_symmetry_space_group_name_H-M 'P 1'
_symmetry_Int_Tables_number 1
_cell_length_a 4.413
_cell_length_b 5.122
_cell_length_c 7.278
_cell_angle_alpha 94.13
_cell_angle_beta 106.35
_cell_angle_gamma 113.69
loop_
_symmetry_equiv_pos_as_xyz
'x,y,z'
loop_
_atom_site_label
_atom_site_fract_x
_atom_site_fract_y
_atom_site_fract_z
Rb1 0.000 0.000 0.000
Hg1 0.044 0.604 0.489
Hg2 0.470 0.281 0.650
Se1 0.486 0.695 0.274
# energy relative to the elements, uncorrected = -0.37 eV/atom
# magnetic moment = 0.000 μB/atom
# E = -6.54 eV/cell

Entry 2:
# RbHgSe2, optimized geometry, DFT PBE
data_RbHgSe2
_symmetry_space_group_name_H-M 'P 1'
_symmetry_Int_Tables_number 1
_cell_length_a 9.713
_cell_length_b 9.713
_cell_length_c 9.713
_cell_angle_alpha 24.84
_cell_angle_beta 24.84
_cell_angle_gamma 24.84
loop_
_symmetry_equiv_pos_as_xyz
'x,y,z'
loop_
_atom_site_label
_atom_site_fract_x
_atom_site_fract_y
_atom_site_fract_z
Rb1 0.000 0.000 0.000
Hg1 0.500 0.500 0.500
Se1 0.113 0.113 0.113
Se2 0.887 0.887 0.887
# energy relative to the elements, uncorrected = -0.09 eV/atom
# magnetic moment = 0.000 μB/atom
# E = -8.61 eV/cell

Entry 3:
# Rb2Hg2Se3, optimized geometry, DFT PBE
data_Rb2Hg2Se3
_symmetry_space_group_name_H-M 'P 1'
_symmetry_Int_Tables_number 1
_cell_length_a 7.761
_cell_length_b 7.761
_cell_length_c 8.890
_cell_angle_alpha 122.67
_cell_angle_beta 122.67
_cell_angle_gamma 33.64
loop_
_symmetry_equiv_pos_as_xyz
'x,y,z'
loop_
_atom_site_label
_atom_site_fract_x
_atom_site_fract_y
_atom_site_fract_z
Rb1 0.050 0.050 0.274
Rb2 0.950 0.950 0.726
Hg1 0.298 0.298 0.197
Hg2 0.702 0.702 0.803
Se1 0.325 0.325 0.892
Se2 0.500 0.500 0.500
Se3 0.675 0.675 0.108
# energy relative to the elements, uncorrected = -0.64 eV/atom
# magnetic moment = 0.000 μB/atom
# E = -17.44 eV/cell